# 1
DFT (PBE) results for a geometry-optimized Sc2IrPt structure.

E = -7.420 eV per atom
space-group type = P4mm
spin magnetization = 0.00 μB per formula unit
ρ = 10.05 g/cm3

Lattice parameters (Å, degrees): 3.1128 3.1128 8.1377 90.00 90.00 90.00
Closest atoms and distances in Å follow each position.
Fractional positions:
Ir  0.0000  0.0000  0.5017  4 Sc 2.67, 4 Pt 2.96
Pt  0.5000  0.5000  0.7458  4 Sc 2.69, 4 Ir 2.96
Sc  0.5000  0.5000  0.3158  4 Ir 2.67
Sc  0.0000  0.0000  0.9367  4 Pt 2.69

---

# 2
DFT (PBE) results for a geometry-optimized CeSmTm2In4 structure.

E = -4.240 eV per atom
space-group type = R-3m
spin magnetization = 0.96 μB per formula unit
ρ = 8.33 g/cm3

Lattice parameters (Å, degrees): 5.3452 5.3452 9.2927 73.29 73.29 60.00
Closest atoms and distances in Å follow each position.
Fractional positions:
Ce  0.5000  0.5000  0.5000  8 In 3.28-3.30
In  0.8756  0.8756  0.3733  4 Tm 3.27-3.30, 1 Sm 3.27, 3 Ce 3.28
Tm  0.7500  0.7500  0.7500  8 In 3.27-3.30
Sm  0.0000  0.0000  0.0000  8 In 3.27
In  0.6255  0.6255  0.1234  3 Sm 3.27, 4 Tm 3.27-3.28, 1 Ce 3.30
In  0.3745  0.3745  0.8766  3 Sm 3.27, 4 Tm 3.27-3.28, 1 Ce 3.30
Tm  0.2500  0.2500  0.2500  8 In 3.27-3.30
In  0.1244  0.1244  0.6268  4 Tm 3.27-3.30, 1 Sm 3.27, 3 Ce 3.28

---

The following E_form values (in meV/atom) correspond, in order, to the records above: -529 -421.
The following N(E_F) values (in states/eV/cell) correspond, in order, to the records above: 2.85 8.53.